(1)
# NaAl2GaSi | Alexandria | GGA-PBE | optimized geometry
data_NaAl2GaSi
_chemical_formula_sum 'Na1 Al2 Ga1 Si1'
_space_group_name_H-M_alt 'P 4/m m m'
_space_group_IT_number 123
_space_group_name_Hall '-P 4 2'
_cell_length_a 5.152
_cell_length_b 5.152
_cell_length_c 4.997
_cell_angle_alpha 90.00
_cell_angle_beta 90.00
_cell_angle_gamma 90.00
loop_
_atom_site_label
_atom_site_fract_x
_atom_site_fract_y
_atom_site_fract_z
Na1 0.000 0.000 0.000
Al1 0.000 0.500 0.000
Ga1 0.500 0.500 0.500
Si1 0.000 0.000 0.500
# - Formation energy from raw total energies: 1156 meV/atom
# - E: -2.2949 eV per atom
# - Fermi-level density of states: 3.0 states/eV/cell
# - Spin magnetization: 0.0 μB/cell
# - Density: 2.19 g/cm³

---

(2)
# NaAl2GaTc | Alexandria | GGA-PBE | optimized geometry
data_NaAl2GaTc
_chemical_formula_sum 'Na1 Al2 Ga1 Tc1'
_space_group_name_H-M_alt 'P 4/m m m'
_space_group_IT_number 123
_space_group_name_Hall '-P 4 2'
_cell_length_a 4.797
_cell_length_b 4.797
_cell_length_c 4.875
_cell_angle_alpha 90.00
_cell_angle_beta 90.00
_cell_angle_gamma 90.00
loop_
_atom_site_label
_atom_site_fract_x
_atom_site_fract_y
_atom_site_fract_z
Na1 0.000 0.000 0.000
Al1 0.000 0.500 0.500
Ga1 0.500 0.500 0.000
Tc1 0.500 0.500 0.500
# - E: -4.4823 eV per atom
# - Formation enthalpy at 0 K: -0.043 eV/atom
# - Fermi-level density of states: 2.2 states/eV/cell
# - Spin magnetization: 0.0 μB/cell
# - Density: 3.62 g/cm³

---

(3)
# NaAl2TlGa | Alexandria | GGA-PBE | optimized geometry
data_NaAl2TlGa
_chemical_formula_sum 'Na1 Al2 Tl1 Ga1'
_space_group_name_H-M_alt 'P 4/m m m'
_space_group_IT_number 123
_space_group_name_Hall '-P 4 2'
_cell_length_a 4.963
_cell_length_b 4.963
_cell_length_c 5.432
_cell_angle_alpha 90.00
_cell_angle_beta 90.00
_cell_angle_gamma 90.00
loop_
_atom_site_label
_atom_site_fract_x
_atom_site_fract_y
_atom_site_fract_z
Na1 0.000 0.000 0.000
Al1 0.000 0.500 0.500
Tl1 0.500 0.500 0.000
Ga1 0.000 0.000 0.500
# - E: -2.5097 eV per atom
# - Formation enthalpy at 0 K: 0.330 eV/atom
# - Fermi-level density of states: 2.7 states/eV/cell
# - Spin magnetization: 0.0 μB/cell
# - Density: 4.36 g/cm³

---

(4)
# Na2AlZn4Ga3 | Alexandria | GGA-PBE | optimized geometry
data_Na2AlZn4Ga3
_chemical_formula_sum 'Na2 Al1 Zn4 Ga3'
_space_group_name_H-M_alt 'P -4 m 2'
_space_group_IT_number 115
_cell_length_a 4.194
_cell_length_b 4.194
_cell_length_c 11.232
_cell_angle_alpha 90.00
_cell_angle_beta 90.00
_cell_angle_gamma 90.00
loop_
_space_group_symop_operation_xyz
'x,y,z'
'y,-x,-z'
'-x,-y,z'
'-y,x,-z'
'-x,y,z'
'-y,-x,-z'
'x,-y,z'
'y,x,-z'
loop_
_atom_site_label
_atom_site_fract_x
_atom_site_fract_y
_atom_site_fract_z
Na1 0.000 0.500 0.247
Al1 0.000 0.000 0.500
Zn1 0.000 0.000 0.000
Zn2 0.000 0.500 0.641
Zn3 0.500 0.500 0.000
Ga1 0.000 0.500 0.865
Ga2 0.500 0.500 0.500
# - E: -2.0971 eV per atom
# - Formation enthalpy at 0 K: -0.041 eV/atom
# - Fermi-level density of states: 3.7 states/eV/cell
# - Spin magnetization: 0.0 μB/cell
# - Density: 4.57 g/cm³

---

(5)
# NaAlZn6Ga | Alexandria | GGA-PBE | optimized geometry
data_NaAlZn6Ga
_chemical_formula_sum 'Na4 Al4 Zn24 Ga4'
_space_group_name_H-M_alt 'I m m a'
_space_group_IT_number 74
_space_group_name_Hall '-I 2b 2'
_cell_length_a 6.982
_cell_length_b 9.406
_cell_length_c 10.556
_cell_angle_alpha 90.00
_cell_angle_beta 90.00
_cell_angle_gamma 90.00
loop_
_atom_site_label
_atom_site_fract_x
_atom_site_fract_y
_atom_site_fract_z
Na1 0.000 0.250 0.211
Al1 0.000 0.000 0.000
Zn1 0.000 0.250 0.520
Zn2 0.000 0.250 0.928
Zn3 0.182 0.004 0.369
Ga1 0.250 0.250 0.750
# - E: -1.6018 eV per atom
# - Formation enthalpy at 0 K: 0.146 eV/atom
# - Fermi-level density of states: 9.6 states/eV/cell
# - Spin magnetization: 0.0 μB/cell
# - Density: 4.91 g/cm³

---

(6)
# Na2Al3ZnGa4 | Alexandria | GGA-PBE | optimized geometry
data_Na2Al3ZnGa4
_chemical_formula_sum 'Na2 Al3 Zn1 Ga4'
_space_group_name_H-M_alt 'P -4 m 2'
_space_group_IT_number 115
_cell_length_a 4.164
_cell_length_b 4.164
_cell_length_c 11.631
_cell_angle_alpha 90.00
_cell_angle_beta 90.00
_cell_angle_gamma 90.00
loop_
_space_group_symop_operation_xyz
'x,y,z'
'y,-x,-z'
'-x,-y,z'
'-y,x,-z'
'-x,y,z'
'-y,-x,-z'
'x,-y,z'
'y,x,-z'
loop_
_atom_site_label
_atom_site_fract_x
_atom_site_fract_y
_atom_site_fract_z
Na1 0.000 0.500 0.241
Al1 0.000 0.000 0.000
Al2 0.000 0.500 0.641
Zn1 0.500 0.500 0.000
Ga1 0.000 0.000 0.500
Ga2 0.000 0.500 0.860
Ga3 0.500 0.500 0.500
# - E: -2.7946 eV per atom
# - Formation enthalpy at 0 K: -0.070 eV/atom
# - Fermi-level density of states: 1.9 states/eV/cell
# - Spin magnetization: 0.0 μB/cell
# - Density: 3.88 g/cm³

---

(7)
# Na2Al4ZnGa3 | Alexandria | GGA-PBE | optimized geometry
data_Na2Al4ZnGa3
_chemical_formula_sum 'Na2 Al4 Zn1 Ga3'
_space_group_name_H-M_alt 'P -4 m 2'
_space_group_IT_number 115
_cell_length_a 4.154
_cell_length_b 4.154
_cell_length_c 11.618
_cell_angle_alpha 90.00
_cell_angle_beta 90.00
_cell_angle_gamma 90.00
loop_
_space_group_symop_operation_xyz
'x,y,z'
'y,-x,-z'
'-x,-y,z'
'-y,x,-z'
'-x,y,z'
'-y,-x,-z'
'x,-y,z'
'y,x,-z'
loop_
_atom_site_label
_atom_site_fract_x
_atom_site_fract_y
_atom_site_fract_z
Na1 0.000 0.500 0.248
Al1 0.000 0.000 0.500
Al2 0.000 0.500 0.861
Al3 0.500 0.500 0.500
Zn1 0.500 0.500 0.000
Ga1 0.000 0.000 0.000
Ga2 0.000 0.500 0.642
# - E: -2.8546 eV per atom
# - Formation enthalpy at 0 K: -0.058 eV/atom
# - Fermi-level density of states: 1.9 states/eV/cell
# - Spin magnetization: 0.0 μB/cell
# - Density: 3.55 g/cm³

---

(8)
# NaAlZnGa2 | Alexandria | GGA-PBE | optimized geometry
data_NaAlZnGa2
_chemical_formula_sum 'Na2 Al2 Zn2 Ga4'
_space_group_name_H-M_alt 'I -4 m 2'
_space_group_IT_number 119
_space_group_name_Hall 'I -4 -2'
_cell_length_a 4.104
_cell_length_b 4.104
_cell_length_c 11.643
_cell_angle_alpha 90.00
_cell_angle_beta 90.00
_cell_angle_gamma 90.00
loop_
_atom_site_label
_atom_site_fract_x
_atom_site_fract_y
_atom_site_fract_z
Na1 0.000 0.000 0.000
Al1 0.000 0.500 0.250
Zn1 0.000 0.500 0.750
Ga1 0.000 0.000 0.391
# - E: -2.5768 eV per atom
# - Formation enthalpy at 0 K: -0.099 eV/atom
# - Fermi-level density of states: 2.5 states/eV/cell
# - Spin magnetization: 0.0 μB/cell
# - Density: 4.32 g/cm³

---

(9)
# Na2AlZn3Ga4 | Alexandria | GGA-PBE | optimized geometry
data_Na2AlZn3Ga4
_chemical_formula_sum 'Na2 Al1 Zn3 Ga4'
_space_group_name_H-M_alt 'P -4 m 2'
_space_group_IT_number 115
_cell_length_a 4.078
_cell_length_b 4.078
_cell_length_c 11.726
_cell_angle_alpha 90.00
_cell_angle_beta 90.00
_cell_angle_gamma 90.00
loop_
_space_group_symop_operation_xyz
'x,y,z'
'y,-x,-z'
'-x,-y,z'
'-y,x,-z'
'-x,y,z'
'-y,-x,-z'
'x,-y,z'
'y,x,-z'
loop_
_atom_site_label
_atom_site_fract_x
_atom_site_fract_y
_atom_site_fract_z
Na1 0.000 0.500 0.250
Al1 0.000 0.000 0.500
Zn1 0.000 0.500 0.855
Zn2 0.500 0.500 0.500
Ga1 0.000 0.000 0.000
Ga2 0.000 0.500 0.643
Ga3 0.500 0.500 0.000
# - E: -2.3021 eV per atom
# - Formation enthalpy at 0 K: -0.071 eV/atom
# - Fermi-level density of states: 5.1 states/eV/cell
# - Spin magnetization: 0.0 μB/cell
# - Density: 4.67 g/cm³

---

(10)
# Nb2AlGa4 | Alexandria | GGA-PBE | optimized geometry
data_Nb2AlGa4
_chemical_formula_sum 'Nb4 Al2 Ga8'
_space_group_name_H-M_alt 'I 4/m m m'
_space_group_IT_number 139
_space_group_name_Hall '-I 4 2'
_cell_length_a 4.841
_cell_length_b 4.841
_cell_length_c 13.136
_cell_angle_alpha 90.00
_cell_angle_beta 90.00
_cell_angle_gamma 90.00
loop_
_atom_site_label
_atom_site_fract_x
_atom_site_fract_y
_atom_site_fract_z
Nb1 0.000 0.000 0.097
Al1 0.000 0.000 0.500
Ga1 0.000 0.000 0.307
Ga2 0.000 0.500 0.000
# - Excess energy over the best structure of this formula in the dataset: 638.0 meV/atom
# - E: -4.6048 eV per atom
# - Formation enthalpy at 0 K: 0.537 eV/atom
# - Fermi-level density of states: 7.7 states/eV/cell
# - Spin magnetization: 0.0 μB/cell
# - Density: 5.30 g/cm³

---

(11)
# Nb3AlGa | Alexandria | GGA-PBE | optimized geometry
data_Nb3AlGa
_chemical_formula_sum 'Nb24 Al8 Ga8'
_space_group_name_H-M_alt 'C 1 2/c 1'
_space_group_IT_number 15
_cell_length_a 14.132
_cell_length_b 5.097
_cell_length_c 9.825
_cell_angle_alpha 90.00
_cell_angle_beta 99.89
_cell_angle_gamma 90.00
loop_
_space_group_symop_operation_xyz
'x,y,z'
'-x,-y,-z'
'-x,y,-z+1/2'
'x,-y,z+1/2'
'x+1/2,y+1/2,z'
'-x+1/2,-y+1/2,-z'
'-x+1/2,y+1/2,-z+1/2'
'x+1/2,-y+1/2,z+1/2'
loop_
_atom_site_label
_atom_site_fract_x
_atom_site_fract_y
_atom_site_fract_z
Nb1 0.054 0.250 0.012
Nb2 0.096 0.024 0.766
Nb3 0.200 0.460 0.263
Al1 0.153 0.248 0.518
Ga1 0.000 0.478 0.250
Ga2 0.250 0.250 0.000
# - Excess energy over the best structure of this formula in the dataset: 0.0 meV/atom
# - E: -7.5639 eV per atom
# - Formation enthalpy at 0 K: -0.168 eV/atom
# - Fermi-level density of states: 29.5 states/eV/cell
# - Spin magnetization: 0.0 μB/cell
# - Density: 7.15 g/cm³